Th4CN3: optimized geometry, PBE-GGA.

The structure in extended XYZ format:
```
8
Lattice="5.214 0.000 0.000 0.000 5.214 0.000 0.000 0.000 5.214" Properties=species:S:1:pos:R:3 pbc="T T T"
C 0.000 0.000 0.000
N 2.607 2.607 0.000
N 2.607 0.000 2.607
N 0.000 2.607 2.607
Th 2.607 0.000 0.000
Th 0.000 2.607 0.000
Th 0.000 0.000 2.607
Th 2.607 2.607 2.607
```

Calculated values
Final energy: -9.24 eV per atom